The following is a GGA-PBE calculation of Zr2CuPt after structural relaxation, from the Alexandria database.

Unit cell a=5.355 b=5.355 c=5.355 alpha=136.32 beta=136.32 gamma=63.49
Positions (direct):
Zr  0.000  0.000  0.000
Zr  0.750  0.250  0.500
Cu  0.500  0.500  0.000
Pt  0.250  0.750  0.500

Summary:
M_tot   0.000 μB/atom
Electronic total energy   -7.262 eV/atom
V   72.3 Å³ per cell